# Tl2AgPdBr6

A relaxed Tl2AgPdBr6 crystal (PBE-GGA, Alexandria via LeMat-Bulk).

As for the density of states at the Fermi level: 3.45 states/eV/f.u. For the uncorrected formation energy, the calculation gives -5.2 eV/f.u. The value obtained for the calculated volume is 299.7 Å³/f.u.

The space group is P2_1/c (No. 14) and the conventional cell measures 7.391, 7.571 and 12.987 Å, with angles of 90.00, 124.42 and 90.00 degrees. The asymmetric unit holds Tl at (0.237, 0.055, 0.251), Ag at (0.000, 0.000, 0.500), Pd at (0.500, 0.000, 0.000), Br at (0.197, 0.203, 0.972), Br at (0.266, 0.719, 0.976) and Br at (0.314, 0.502, 0.262).

***

# VAgPdBr2

A relaxed VAgPdBr2 crystal (PBE-GGA, Alexandria via LeMat-Bulk).

As for the density of states at the Fermi level: 6.26 states/eV/f.u. For the uncorrected formation energy, the calculation gives 5.9 eV/f.u. The value obtained for the calculated volume is 137.1 Å³/f.u.

The space group is P4/mmm (No. 123) and the conventional cell measures 5.172, 5.172 and 5.126 Å, with angles of 90.00, 90.00 and 90.00 degrees. The asymmetric unit holds V at (0.000, 0.000, 0.000), Ag at (0.000, 0.000, 0.500), Pd at (0.500, 0.500, 0.000) and Br at (0.000, 0.500, 0.500).

***

# Pm3AgBr3

A relaxed Pm3AgBr3 crystal (PBE-GGA, Alexandria via LeMat-Bulk).

As for the density of states at the Fermi level: 6.10 states/eV/f.u. For the uncorrected formation energy, the calculation gives -7.7 eV/f.u. The value obtained for the calculated volume is 218.4 Å³/f.u.

The space group is I4_132 (No. 214) and the conventional cell measures 12.044, 12.044 and 12.044 Å, with angles of 90.00, 90.00 and 90.00 degrees. The asymmetric unit holds Pm at (0.119, 0.369, 0.125), Ag at (0.125, 0.125, 0.125) and Br at (0.118, 0.132, 0.625).

***

# PmAgBr6

A relaxed PmAgBr6 crystal (PBE-GGA, Alexandria via LeMat-Bulk).

For the uncorrected formation energy, the calculation gives -7.2 eV/f.u. The value obtained for the calculated volume is 309.1 Å³/f.u.

The space group is P-1 (No. 2) and the conventional cell measures 5.900, 7.365 and 7.806 Å, with angles of 72.00, 73.41 and 85.97 degrees. The asymmetric unit holds Pm at (0.000, 0.000, 0.000), Ag at (0.500, 0.500, 0.000), Br at (0.035, 0.812, 0.362), Br at (0.258, 0.371, 0.834) and Br at (0.432, 0.835, 0.809).

***

# PmAg2Br5

A relaxed PmAg2Br5 crystal (PBE-GGA, Alexandria via LeMat-Bulk).

As for the density of states at the Fermi level: 0.00 states/eV/f.u. For the uncorrected formation energy, the calculation gives -8.4 eV/f.u. The value obtained for the calculated volume is 292.9 Å³/f.u.

The space group is P1 (No. 1) and the conventional cell measures 5.833, 7.567 and 7.656 Å, with angles of 82.92, 68.67 and 68.53 degrees. The asymmetric unit holds Pm at (0.000, 0.000, 0.000), Ag at (0.484, 0.000, 0.500), Ag at (0.494, 0.470, 0.059), Br at (0.017, 0.670, 0.236), Br at (0.260, 0.768, 0.669), Br at (0.485, 0.008, 0.015), Br at (0.708, 0.238, 0.342) and Br at (0.936, 0.343, 0.788).

***

# PmAgBr4

A relaxed PmAgBr4 crystal (PBE-GGA, Alexandria via LeMat-Bulk).

As for the density of states at the Fermi level: 0.00 states/eV/f.u. For the uncorrected formation energy, the calculation gives -8.0 eV/f.u. The value obtained for the calculated volume is 218.7 Å³/f.u.

The space group is C2/m (No. 12) and the conventional cell measures 15.314, 4.252 and 7.360 Å, with angles of 90.00, 114.09 and 90.00 degrees. The asymmetric unit holds Pm at (0.000, 0.000, 0.000), Ag at (0.000, 0.500, 0.500), Br at (0.105, 0.000, 0.424) and Br at (0.124, 0.500, 0.971).

***

# Pm3Ag5Br12

A relaxed Pm3Ag5Br12 crystal (PBE-GGA, Alexandria via LeMat-Bulk).

As for the density of states at the Fermi level: 10.41 states/eV/f.u. For the uncorrected formation energy, the calculation gives -18.4 eV/f.u. The value obtained for the calculated volume is 609.0 Å³/f.u.

The space group is Ia-3d (No. 230) and the conventional cell measures 16.953, 16.953 and 16.953 Å, with angles of 90.00, 90.00 and 90.00 degrees. The asymmetric unit holds Pm at (0.000, 0.250, 0.125), Ag at (0.000, 0.000, 0.000), Ag at (0.000, 0.250, 0.375) and Br at (0.022, 0.069, 0.653).

***

# Pm7AgBr12

A relaxed Pm7AgBr12 crystal (PBE-GGA, Alexandria via LeMat-Bulk).

As for the density of states at the Fermi level: 9.39 states/eV/f.u. For the uncorrected formation energy, the calculation gives -30.3 eV/f.u. The value obtained for the calculated volume is 680.7 Å³/f.u.

The space group is R-3 (No. 148, hexagonal axes) and the conventional cell measures 15.3872, 15.3872 and 9.9595 Å, with angles of 90.00, 90.00 and 120.00 degrees. The asymmetric unit holds Pm at (0.0000, 0.0000, 0.0000), Pm at (0.0462, 0.8764, 0.3315), Ag at (0.0000, 0.0000, 0.5000), Br at (0.0288, 0.4413, 0.1635) and Br at (0.0500, 0.8655, 0.8459).